[1]
VASP calculation (GGA-PBE) on crystalline CdBiSb2Te at its relaxed geometry.

Properties
- Formation energy (no corrections): 3.12 eV/f.u.
- Distance to the lowest polymorph of the same formula: 0 meV per atom
- Crystal system: tetragonal

Cell lengths 5.489, 5.489, 5.579 Å; angles 90.00, 90.00, 90.00 degrees
Element x y z (fractional)
Cd (0.000, 0.000, 0.000)
Bi (0.500, 0.500, 0.500)
Sb (0.000, 0.500, 0.000)
Sb (0.500, 0.000, 0.000)
Te (0.000, 0.000, 0.500)

[2]
VASP calculation (GGA-PBE) on crystalline TlCdBiSb at its relaxed geometry.

Properties
- Formation energy (no corrections): 0.44 eV/f.u.
- Crystal system: cubic

Cell lengths 7.781, 7.781, 7.781 Å; angles 90.00, 90.00, 90.00 degrees
Element x y z (fractional)
Tl (0.000, 0.000, 0.000)
Tl (0.000, 0.500, 0.500)
Tl (0.500, 0.000, 0.500)
Tl (0.500, 0.500, 0.000)
Cd (0.250, 0.250, 0.750)
Cd (0.250, 0.750, 0.250)
Cd (0.750, 0.250, 0.250)
Cd (0.750, 0.750, 0.750)
Bi (0.000, 0.000, 0.500)
Bi (0.000, 0.500, 0.000)
Bi (0.500, 0.000, 0.000)
Bi (0.500, 0.500, 0.500)
Sb (0.250, 0.250, 0.250)
Sb (0.250, 0.750, 0.750)
Sb (0.750, 0.250, 0.750)
Sb (0.750, 0.750, 0.250)

[3]
VASP calculation (GGA-PBE) on crystalline VCdBi2Sb at its relaxed geometry.

Properties
- Formation energy (no corrections): 1.67 eV/f.u.
- Crystal system: tetragonal

Cell lengths 5.339, 5.339, 5.116 Å; angles 90.00, 90.00, 90.00 degrees
Element x y z (fractional)
V (0.000, 0.000, 0.000)
Cd (0.500, 0.500, 0.500)
Bi (0.000, 0.500, 0.000)
Bi (0.500, 0.000, 0.000)
Sb (0.000, 0.000, 0.500)

[4]
VASP calculation (GGA-PBE) on crystalline Sc2CdBi at its relaxed geometry.

Properties
- Calculated formation energy: -0.128 eV per atom
- Crystal system: tetragonal

Cell lengths 7.933, 7.933, 6.612 Å; angles 90.00, 90.00, 90.00 degrees
Element x y z (fractional)
Sc (0.248, 0.250, 0.125)
Sc (0.250, 0.748, 0.375)
Sc (0.250, 0.752, 0.875)
Sc (0.252, 0.250, 0.625)
Sc (0.748, 0.750, 0.625)
Sc (0.750, 0.248, 0.875)
Sc (0.750, 0.252, 0.375)
Sc (0.752, 0.750, 0.125)
Cd (0.000, 0.000, 0.000)
Cd (0.000, 0.500, 0.250)
Cd (0.500, 0.000, 0.750)
Cd (0.500, 0.500, 0.500)
Bi (0.000, 0.000, 0.500)
Bi (0.000, 0.500, 0.750)
Bi (0.500, 0.000, 0.250)
Bi (0.500, 0.500, 0.000)

[5]
VASP calculation (GGA-PBE) on crystalline Sc3CdBi at its relaxed geometry.

Properties
- Distance to the lowest polymorph of the same formula: 172 meV per atom
- Calculated formation energy: 0.341 eV per atom
- Crystal system: cubic

Cell lengths 5.430, 5.430, 5.430 Å; angles 90.00, 90.00, 90.00 degrees
Element x y z (fractional)
Sc (0.000, 0.000, 0.500)
Sc (0.000, 0.500, 0.000)
Sc (0.500, 0.000, 0.000)
Cd (0.500, 0.500, 0.500)
Bi (0.000, 0.000, 0.000)

[6]
VASP calculation (GGA-PBE) on crystalline ScCdBi3 at its relaxed geometry.

Properties
- Distance to the lowest polymorph of the same formula: 0 meV per atom
- Calculated formation energy: 0.189 eV per atom
- Crystal system: cubic

Cell lengths 5.613, 5.613, 5.613 Å; angles 90.00, 90.00, 90.00 degrees
Element x y z (fractional)
Sc (0.000, 0.000, 0.000)
Cd (0.500, 0.500, 0.500)
Bi (0.000, 0.000, 0.500)
Bi (0.000, 0.500, 0.000)
Bi (0.500, 0.000, 0.000)

[7]
VASP calculation (GGA-PBE) on crystalline Sc2CdBi at its relaxed geometry.

Properties
- Calculated formation energy: 0.156 eV per atom
- Crystal system: trigonal

Cell lengths 3.860, 3.860, 29.427 Å; angles 90.00, 90.00, 120.00 degrees
Element x y z (fractional)
Sc (0.000, 0.000, 0.103)
Sc (0.000, 0.000, 0.897)
Sc (0.333, 0.667, 0.564)
Sc (0.333, 0.667, 0.769)
Sc (0.667, 0.333, 0.231)
Sc (0.667, 0.333, 0.436)
Cd (0.000, 0.000, 0.000)
Cd (0.333, 0.667, 0.667)
Cd (0.667, 0.333, 0.333)
Bi (0.000, 0.000, 0.500)
Bi (0.333, 0.667, 0.167)
Bi (0.667, 0.333, 0.833)

[8]
VASP calculation (GGA-PBE) on crystalline Sc2CdBi at its relaxed geometry.

Properties
- Calculated formation energy: -0.377 eV per atom
- Crystal system: tetragonal

Cell lengths 3.826, 3.826, 6.523 Å; angles 90.00, 90.00, 90.00 degrees
Element x y z (fractional)
Sc (0.000, 0.000, 0.249)
Sc (0.000, 0.000, 0.751)
Cd (0.500, 0.500, 0.500)
Bi (0.500, 0.500, 0.000)

[9]
VASP calculation (GGA-PBE) on crystalline Sc2CdBi at its relaxed geometry.

Properties
- Calculated formation energy: 0.019 eV per atom
- Crystal system: trigonal

Cell lengths 3.406, 3.406, 32.106 Å; angles 90.00, 90.00, 120.00 degrees
Element x y z (fractional)
Sc (0.000, 0.000, 0.093)
Sc (0.000, 0.000, 0.907)
Sc (0.333, 0.667, 0.573)
Sc (0.333, 0.667, 0.760)
Sc (0.667, 0.333, 0.240)
Sc (0.667, 0.333, 0.427)
Cd (0.000, 0.000, 0.500)
Cd (0.333, 0.667, 0.167)
Cd (0.667, 0.333, 0.833)
Bi (0.000, 0.000, 0.000)
Bi (0.333, 0.667, 0.667)
Bi (0.667, 0.333, 0.333)

[10]
VASP calculation (GGA-PBE) on crystalline Sc5CdBi at its relaxed geometry.

Properties
- Calculated formation energy: -0.067 eV per atom
- Crystal system: monoclinic

Cell lengths 5.953, 5.953, 11.611 Å; angles 97.07, 97.07, 60.06 degrees
Element x y z (fractional)
Sc (0.172, 0.305, 0.672)
Sc (0.178, 0.822, 0.750)
Sc (0.274, 0.407, 0.937)
Sc (0.305, 0.172, 0.172)
Sc (0.407, 0.274, 0.437)
Sc (0.593, 0.726, 0.563)
Sc (0.695, 0.828, 0.828)
Sc (0.726, 0.593, 0.063)
Sc (0.822, 0.178, 0.250)
Sc (0.828, 0.695, 0.328)
Cd (0.000, 0.000, 0.000)
Cd (0.000, 0.000, 0.500)
Bi (0.323, 0.677, 0.250)
Bi (0.677, 0.323, 0.750)

[11]
VASP calculation (GGA-PBE) on crystalline Sc2CdBi at its relaxed geometry.

Properties
- Calculated formation energy: -0.359 eV per atom
- Crystal system: tetragonal

Cell lengths 4.722, 4.722, 4.247 Å; angles 90.00, 90.00, 90.00 degrees
Element x y z (fractional)
Sc (0.000, 0.500, 0.000)
Sc (0.500, 0.000, 0.000)
Cd (0.000, 0.000, 0.500)
Bi (0.500, 0.500, 0.500)

[12]
VASP calculation (GGA-PBE) on crystalline ScCdBi3 at its relaxed geometry.

Properties
- Distance to the lowest polymorph of the same formula: 413 meV per atom
- Calculated formation energy: 0.602 eV per atom
- Crystal system: cubic

Cell lengths 5.601, 5.601, 5.601 Å; angles 90.00, 90.00, 90.00 degrees
Element x y z (fractional)
Sc (0.000, 0.000, 0.000)
Cd (0.500, 0.500, 0.500)
Bi (0.000, 0.500, 0.500)
Bi (0.500, 0.000, 0.500)
Bi (0.500, 0.500, 0.000)

[13]
VASP calculation (GGA-PBE) on crystalline Sc3CdBi at its relaxed geometry.

Properties
- Distance to the lowest polymorph of the same formula: 0 meV per atom
- Calculated formation energy: 0.168 eV per atom
- Crystal system: cubic

Cell lengths 5.262, 5.262, 5.262 Å; angles 90.00, 90.00, 90.00 degrees
Element x y z (fractional)
Sc (0.000, 0.000, 0.500)
Sc (0.000, 0.500, 0.000)
Sc (0.500, 0.000, 0.000)
Cd (0.000, 0.000, 0.000)
Bi (0.500, 0.500, 0.500)

[14]
VASP calculation (GGA-PBE) on crystalline SmScCdBi at its relaxed geometry.

Properties
- Calculated formation energy: -0.365 eV per atom
- Crystal system: cubic

Cell lengths 7.519, 7.519, 7.519 Å; angles 90.00, 90.00, 90.00 degrees
Element x y z (fractional)
Sm (0.000, 0.000, 0.000)
Sm (0.000, 0.500, 0.500)
Sm (0.500, 0.000, 0.500)
Sm (0.500, 0.500, 0.000)
Sc (0.000, 0.000, 0.500)
Sc (0.000, 0.500, 0.000)
Sc (0.500, 0.000, 0.000)
Sc (0.500, 0.500, 0.500)
Cd (0.250, 0.250, 0.750)
Cd (0.250, 0.750, 0.250)
Cd (0.750, 0.250, 0.250)
Cd (0.750, 0.750, 0.750)
Bi (0.250, 0.250, 0.250)
Bi (0.250, 0.750, 0.750)
Bi (0.750, 0.250, 0.750)
Bi (0.750, 0.750, 0.250)

[15]
VASP calculation (GGA-PBE) on crystalline TbScCdBi at its relaxed geometry.

Properties
- Calculated formation energy: -0.351 eV per atom
- Crystal system: cubic

Cell lengths 7.465, 7.465, 7.465 Å; angles 90.00, 90.00, 90.00 degrees
Element x y z (fractional)
Tb (0.000, 0.000, 0.000)
Tb (0.000, 0.500, 0.500)
Tb (0.500, 0.000, 0.500)
Tb (0.500, 0.500, 0.000)
Sc (0.000, 0.000, 0.500)
Sc (0.000, 0.500, 0.000)
Sc (0.500, 0.000, 0.000)
Sc (0.500, 0.500, 0.500)
Cd (0.250, 0.250, 0.750)
Cd (0.250, 0.750, 0.250)
Cd (0.750, 0.250, 0.250)
Cd (0.750, 0.750, 0.750)
Bi (0.250, 0.250, 0.250)
Bi (0.250, 0.750, 0.750)
Bi (0.750, 0.250, 0.750)
Bi (0.750, 0.750, 0.250)

[16]
VASP calculation (GGA-PBE) on crystalline CdBiSe at its relaxed geometry.

Properties
- Formation energy (no corrections): -0.58 eV/f.u.
- Distance to the lowest polymorph of the same formula: 69 meV per atom
- Crystal system: triclinic

Cell lengths 4.430, 6.363, 6.938 Å; angles 72.00, 85.62, 80.06 degrees
Element x y z (fractional)
Cd (0.163, 0.259, 0.387)
Cd (0.837, 0.741, 0.613)
Bi (0.214, 0.669, 0.023)
Bi (0.786, 0.331, 0.977)
Se (0.345, 0.820, 0.370)
Se (0.655, 0.180, 0.630)

[17]
VASP calculation (GGA-PBE) on crystalline CdBiSe2 at its relaxed geometry.

Properties
- Formation energy (no corrections): -0.88 eV/f.u.
- Distance to the lowest polymorph of the same formula: 0 meV per atom
- Crystal system: tetragonal

Cell lengths 6.056, 6.056, 14.835 Å; angles 90.00, 90.00, 90.00 degrees
Element x y z (fractional)
Cd (0.000, 0.000, 0.000)
Cd (0.000, 0.500, 0.250)
Cd (0.500, 0.000, 0.750)
Cd (0.500, 0.500, 0.500)
Bi (0.000, 0.000, 0.500)
Bi (0.000, 0.500, 0.750)
Bi (0.500, 0.000, 0.250)
Bi (0.500, 0.500, 0.000)
Se (0.230, 0.250, 0.125)
Se (0.250, 0.730, 0.375)
Se (0.250, 0.770, 0.875)
Se (0.270, 0.250, 0.625)
Se (0.730, 0.750, 0.625)
Se (0.750, 0.230, 0.875)
Se (0.750, 0.270, 0.375)
Se (0.770, 0.750, 0.125)

[18]
VASP calculation (GGA-PBE) on crystalline CdBiSe at its relaxed geometry.

Properties
- Formation energy (no corrections): -0.43 eV/f.u.
- Distance to the lowest polymorph of the same formula: 121 meV per atom
- Crystal system: monoclinic

Cell lengths 9.680, 8.323, 4.488 Å; angles 90.00, 113.63, 90.00 degrees
Element x y z (fractional)
Cd (0.174, 0.000, 0.009)
Cd (0.326, 0.500, 0.991)
Cd (0.674, 0.500, 0.009)
Cd (0.826, 0.000, 0.991)
Bi (0.000, 0.244, 0.500)
Bi (0.000, 0.549, 0.000)
Bi (0.500, 0.049, 0.000)
Bi (0.500, 0.744, 0.500)
Se (0.188, 0.783, 0.482)
Se (0.312, 0.283, 0.518)
Se (0.688, 0.283, 0.482)
Se (0.812, 0.783, 0.518)

[19]
VASP calculation (GGA-PBE) on crystalline CdBiSe at its relaxed geometry.

Properties
- Formation energy (no corrections): -0.72 eV/f.u.
- Distance to the lowest polymorph of the same formula: 23 meV per atom
- Crystal system: orthorhombic

Cell lengths 4.087, 12.628, 6.740 Å; angles 90.00, 90.00, 90.00 degrees
Element x y z (fractional)
Cd (0.000, 0.175, 0.000)
Cd (0.000, 0.825, 0.000)
Cd (0.500, 0.325, 0.500)
Cd (0.500, 0.675, 0.500)
Bi (0.000, 0.500, 0.402)
Bi (0.000, 0.500, 0.944)
Bi (0.500, 0.000, 0.444)
Bi (0.500, 0.000, 0.902)
Se (0.000, 0.172, 0.411)
Se (0.000, 0.828, 0.411)
Se (0.500, 0.328, 0.911)
Se (0.500, 0.672, 0.911)

[20]
VASP calculation (GGA-PBE) on crystalline CdBi3Se at its relaxed geometry.

Properties
- Formation energy (no corrections): 2.55 eV/f.u.
- Distance to the lowest polymorph of the same formula: 0 meV per atom
- Crystal system: cubic

Cell lengths 5.605, 5.605, 5.605 Å; angles 90.00, 90.00, 90.00 degrees
Element x y z (fractional)
Cd (0.000, 0.000, 0.000)
Bi (0.000, 0.500, 0.500)
Bi (0.500, 0.000, 0.500)
Bi (0.500, 0.500, 0.000)
Se (0.500, 0.500, 0.500)

[21]
VASP calculation (GGA-PBE) on crystalline CdBiSe at its relaxed geometry.

Properties
- Formation energy (no corrections): -0.37 eV/f.u.
- Distance to the lowest polymorph of the same formula: 139 meV per atom
- Crystal system: monoclinic

Cell lengths 7.841, 3.826, 6.230 Å; angles 90.00, 111.63, 90.00 degrees
Element x y z (fractional)
Cd (0.000, 0.000, 0.000)
Cd (0.500, 0.500, 0.000)
Bi (0.133, 0.500, 0.629)
Bi (0.633, 0.000, 0.629)
Se (0.241, 0.500, 0.249)
Se (0.741, 0.000, 0.249)

[22]
VASP calculation (GGA-PBE) on crystalline CdBiSe2 at its relaxed geometry.

Properties
- Formation energy (no corrections): -0.37 eV/f.u.
- Distance to the lowest polymorph of the same formula: 127 meV per atom
- Crystal system: cubic

Cell lengths 7.283, 7.283, 7.283 Å; angles 90.00, 90.00, 90.00 degrees
Element x y z (fractional)
Cd (0.000, 0.000, 0.000)
Cd (0.000, 0.500, 0.500)
Cd (0.500, 0.000, 0.500)
Cd (0.500, 0.500, 0.000)
Bi (0.000, 0.000, 0.500)
Bi (0.000, 0.500, 0.000)
Bi (0.500, 0.000, 0.000)
Bi (0.500, 0.500, 0.500)
Se (0.250, 0.250, 0.250)
Se (0.250, 0.250, 0.750)
Se (0.250, 0.750, 0.250)
Se (0.250, 0.750, 0.750)
Se (0.750, 0.250, 0.250)
Se (0.750, 0.250, 0.750)
Se (0.750, 0.750, 0.250)
Se (0.750, 0.750, 0.750)

[23]
VASP calculation (GGA-PBE) on crystalline CdBiSe2 at its relaxed geometry.

Properties
- Formation energy (no corrections): -0.48 eV/f.u.
- Distance to the lowest polymorph of the same formula: 101 meV per atom
- Crystal system: trigonal

Cell lengths 3.835, 3.835, 27.179 Å; angles 90.00, 90.00, 120.00 degrees
Element x y z (fractional)
Cd (0.000, 0.000, 0.000)
Cd (0.333, 0.667, 0.667)
Cd (0.667, 0.333, 0.333)
Bi (0.000, 0.000, 0.500)
Bi (0.333, 0.667, 0.167)
Bi (0.667, 0.333, 0.833)
Se (0.000, 0.000, 0.395)
Se (0.000, 0.000, 0.605)
Se (0.333, 0.667, 0.061)
Se (0.333, 0.667, 0.272)
Se (0.667, 0.333, 0.728)
Se (0.667, 0.333, 0.939)

[24]
VASP calculation (GGA-PBE) on crystalline CdBiSe3 at its relaxed geometry.

Properties
- Formation energy (no corrections): -1.50 eV/f.u.
- Distance to the lowest polymorph of the same formula: 0 meV per atom
- Crystal system: monoclinic

Cell lengths 7.249, 4.173, 9.788 Å; angles 90.00, 111.44, 90.00 degrees
Element x y z (fractional)
Cd (0.173, 0.250, 0.203)
Cd (0.827, 0.750, 0.797)
Bi (0.317, 0.250, 0.804)
Bi (0.683, 0.750, 0.196)
Se (0.096, 0.750, 0.359)
Se (0.238, 0.750, 0.007)
Se (0.402, 0.750, 0.636)
Se (0.598, 0.250, 0.364)
Se (0.762, 0.250, 0.993)
Se (0.904, 0.250, 0.641)

[25]
VASP calculation (GGA-PBE) on crystalline CdBiSe at its relaxed geometry.

Properties
- Formation energy (no corrections): -0.79 eV/f.u.
- Distance to the lowest polymorph of the same formula: 0 meV per atom
- Crystal system: monoclinic

Cell lengths 13.742, 6.722, 4.296 Å; angles 90.00, 93.61, 90.00 degrees
Element x y z (fractional)
Cd (0.196, 0.000, 0.194)
Cd (0.304, 0.500, 0.806)
Cd (0.696, 0.500, 0.194)
Cd (0.804, 0.000, 0.806)
Bi (0.000, 0.167, 0.000)
Bi (0.000, 0.490, 0.500)
Bi (0.500, 0.667, 0.000)
Bi (0.500, 0.990, 0.500)
Se (0.196, 0.602, 0.288)
Se (0.304, 0.102, 0.712)
Se (0.696, 0.102, 0.288)
Se (0.804, 0.602, 0.712)

[26]
VASP calculation (GGA-PBE) on crystalline CdBiSe at its relaxed geometry.

Properties
- Formation energy (no corrections): -0.70 eV/f.u.
- Distance to the lowest polymorph of the same formula: 30 meV per atom
- Crystal system: triclinic

Cell lengths 4.338, 6.950, 7.723 Å; angles 101.52, 93.88, 95.18 degrees
Element x y z (fractional)
Cd (0.000, 0.000, 0.000)
Cd (0.414, 0.399, 0.991)
Bi (0.157, 0.049, 0.633)
Bi (0.703, 0.342, 0.576)
Se (0.553, 0.146, 0.196)
Se (0.939, 0.601, 0.939)

[27]
VASP calculation (GGA-PBE) on crystalline CdBiSe2 at its relaxed geometry.

Properties
- Formation energy (no corrections): -0.69 eV/f.u.
- Distance to the lowest polymorph of the same formula: 48 meV per atom
- Crystal system: trigonal

Cell lengths 4.328, 4.328, 25.728 Å; angles 90.00, 90.00, 120.00 degrees
Element x y z (fractional)
Cd (0.000, 0.000, 0.000)
Cd (0.333, 0.667, 0.667)
Cd (0.667, 0.333, 0.333)
Bi (0.000, 0.000, 0.500)
Bi (0.333, 0.667, 0.167)
Bi (0.667, 0.333, 0.833)
Se (0.000, 0.000, 0.103)
Se (0.000, 0.000, 0.897)
Se (0.333, 0.667, 0.564)
Se (0.333, 0.667, 0.770)
Se (0.667, 0.333, 0.230)
Se (0.667, 0.333, 0.436)

Taking the records one at a time from the top gives VASP energy values of -2.61; -2.71; -4.05; -4.49; -4.42; -3.59; -4.21; -4.74; -4.35; -5.27; -4.72; -3.18; -4.59; -4.33; -4.29; -2.95; -3.16; -2.90; -3.00; -2.70; -2.88; -3.03; -3.06; -3.35; -3.02; -2.99; -3.11 eV per atom.